# PBE Pa2MnTcN6, relaxed
# calculated volume	355.2	Å³ per cell
# total moment	1.4	μB/f.u.
# raw total energy	-291.388	eV per cell
data_Pa2MnTcN6
_chemical_formula_sum 'Pa6 Mn3 Tc3 N18'
_cell_length_a 5.4927
_cell_length_b 5.4927
_cell_length_c 13.5962
_cell_angle_alpha 90.00
_cell_angle_beta 90.00
_cell_angle_gamma 120.00
_symmetry_space_group_name_H-M 'R 3'
_symmetry_Int_Tables_number 146
_symmetry_space_group_name_Hall 'R 3'
loop_
_atom_site_label
_atom_site_fract_x
_atom_site_fract_y
_atom_site_fract_z
_atom_site_occupancy
Pa1 0.0000 0.0000 0.0000 1
Pa2 0.0000 0.0000 0.4978 1
Mn1 0.0000 0.0000 0.7207 1
Tc1 0.0000 0.0000 0.2230 1
N1 0.0691 0.7280 0.7904 1
N2 0.0764 0.3516 0.2934 1

# PBE Cd4Ag5Au2, relaxed
# ΔE_f	103	kJ/mol of formula units
# calculated volume	492.6	Å³ per cell
# total moment	0.0	μB/f.u.
# raw total energy	-46.804	eV per cell
# ΔE to the lowest computed polymorph	0.1751	eV per atom
data_Cd4Ag5Au2
_chemical_formula_sum 'Cd8 Ag10 Au4'
_cell_length_a 4.515
_cell_length_b 5.743
_cell_length_c 18.994
_cell_angle_alpha 90.00
_cell_angle_beta 90.00
_cell_angle_gamma 90.00
_symmetry_space_group_name_H-M 'I m m m'
_symmetry_Int_Tables_number 71
_symmetry_space_group_name_Hall '-I 2 2'
loop_
_atom_site_label
_atom_site_fract_x
_atom_site_fract_y
_atom_site_fract_z
_atom_site_occupancy
Cd1 0.000 0.000 0.222 1
Cd2 0.000 0.258 0.500 1
Ag1 0.000 0.249 0.350 1
Ag2 0.000 0.500 0.000 1
Au1 0.000 0.000 0.076 1

# PBE YZrBr2, relaxed
# calculated volume	310.0	Å³ per cell
# total moment	0.6	μB/f.u.
# raw total energy	-63.313	eV per cell
# ΔE to the lowest computed polymorph	0.3733	eV per atom
data_YZrBr2
_chemical_formula_sum 'Y3 Zr3 Br6'
_cell_length_a 3.4925
_cell_length_b 3.4925
_cell_length_c 29.3451
_cell_angle_alpha 90.00
_cell_angle_beta 90.00
_cell_angle_gamma 120.00
_symmetry_space_group_name_H-M 'R -3 m'
_symmetry_Int_Tables_number 166
_symmetry_space_group_name_Hall '-R 3 2"'
loop_
_atom_site_label
_atom_site_fract_x
_atom_site_fract_y
_atom_site_fract_z
_atom_site_occupancy
Y1 0.0000 0.0000 0.0000 1
Zr1 0.0000 0.0000 0.5000 1
Br1 0.0000 0.0000 0.4058 1

# PBE DyThAgOs, relaxed
# ΔE_f	-75	kJ/mol of formula units
# calculated volume	367.8	Å³ per cell
# total moment	0.0	μB/f.u.
# raw total energy	-107.505	eV per cell
data_DyThAgOs
_chemical_formula_sum 'Dy4 Th4 Ag4 Os4'
_cell_length_a 7.165
_cell_length_b 7.165
_cell_length_c 7.165
_cell_angle_alpha 90.00
_cell_angle_beta 90.00
_cell_angle_gamma 90.00
_symmetry_space_group_name_H-M 'F -4 3 m'
_symmetry_Int_Tables_number 216
_symmetry_space_group_name_Hall 'F -4 2 3'
loop_
_atom_site_label
_atom_site_fract_x
_atom_site_fract_y
_atom_site_fract_z
_atom_site_occupancy
Dy1 0.000 0.000 0.000 1
Th1 0.000 0.000 0.500 1
Ag1 0.250 0.250 0.250 1
Os1 0.250 0.250 0.750 1

> The highest calculated volume belongs to which entry?

Cd4Ag5Au2